Material: TlRh2SCl
Method: DFT, PBE
State: relaxed

```
TlRh2SCl
1.0
4.398 0.000 0.000
0.000 4.398 0.000
0.000 0.000 6.085
Tl Rh S Cl
1 2 1 1
direct
0.000 0.000 0.000 Tl
0.000 0.500 0.500 Rh
0.500 0.000 0.500 Rh
0.500 0.500 0.000 S
0.000 0.000 0.500 Cl
```

Calculated values
D(E_F) ... 8.2 states/eV per cell

Material: VRhS2Cl
Method: DFT, PBE
State: relaxed

```
VRhS2Cl
1.0
4.671 0.000 0.000
0.000 4.671 0.000
0.000 0.000 4.636
V Rh S Cl
1 1 2 1
direct
0.000 0.000 0.000 V
0.500 0.500 0.500 Rh
0.000 0.500 0.500 S
0.500 0.000 0.500 S
0.500 0.500 0.000 Cl
```

Calculated values
D(E_F) ... 6.3 states/eV per cell

Material: VRhS2Cl
Method: DFT, PBE
State: relaxed

```
VRhS2Cl
1.0
4.529 0.000 0.000
0.000 4.529 0.000
0.000 0.000 4.668
V Rh S Cl
1 1 2 1
direct
0.000 0.000 0.000 V
0.500 0.500 0.500 Rh
0.000 0.500 0.000 S
0.500 0.000 0.000 S
0.000 0.000 0.500 Cl
```

Calculated values
D(E_F) ... 9.1 states/eV per cell

Material: YRhS2Cl
Method: DFT, PBE
State: relaxed

```
YRhS2Cl
1.0
5.268 0.000 0.000
0.000 5.268 0.000
0.000 0.000 5.098
Y Rh S Cl
1 1 2 1
direct
0.000 0.000 0.000 Y
0.500 0.500 0.500 Rh
0.000 0.500 0.000 S
0.500 0.000 0.000 S
0.000 0.000 0.500 Cl
```

Calculated values
D(E_F) ... 4.3 states/eV per cell

Values for formation energy from raw total energies, eV/atom, ordered as above
0.81; 0.37; 0.26; -0.15